1.
{"formula": "Na2CeSe2Br2", "functional": "PBE-GGA", "state": "relaxed", "lattice_angstrom": [[-4.551, 2.470, -2.082], [-2.291, -5.004, -0.929], [0.375, 1.397, 8.318]], "species": ["Se", "Se", "Br", "Br", "Na", "Na", "Ce"], "fractional_positions": [[0.000, 0.500, 0.000], [0.500, 0.000, 0.000], [0.190, 0.190, 0.380], [0.810, 0.810, 0.620], [0.381, 0.381, 0.763], [0.619, 0.619, 0.237], [0.000, 0.000, 0.000]], "formation_energy_uncorrected_mev_per_atom": -1428, "spacegroup": "I4/mmm (139)", "crystal_system": "tetragonal", "dos_at_fermi_per_ev_atom": 0.00}

---

2.
{"formula": "NaSrCeBr6", "functional": "PBE-GGA", "state": "relaxed", "lattice_angstrom": [[7.497, 0.000, 0.000], [-3.749, 6.493, 0.000], [0.000, 0.000, 13.503]], "species": ["Sr", "Sr", "Br", "Br", "Br", "Br", "Br", "Br", "Br", "Br", "Br", "Br", "Br", "Br", "Na", "Na", "Ce", "Ce"], "fractional_positions": [[0.000, 0.000, 0.000], [0.000, 0.000, 0.500], [0.008, 0.661, 0.872], [0.992, 0.653, 0.372], [0.661, 0.008, 0.372], [0.008, 0.347, 0.628], [0.653, 0.661, 0.628], [0.347, 0.339, 0.372], [0.653, 0.992, 0.872], [0.339, 0.347, 0.872], [0.347, 0.008, 0.128], [0.992, 0.339, 0.128], [0.661, 0.653, 0.128], [0.339, 0.992, 0.628], [0.667, 0.333, 0.750], [0.333, 0.667, 0.250], [0.667, 0.333, 0.250], [0.333, 0.667, 0.750]], "formation_energy_uncorrected_mev_per_atom": -1845, "spacegroup": "P-31c (163)", "crystal_system": "trigonal", "dos_at_fermi_per_ev_atom": 0.94}

---

Please write out number 1 again, unchanged.
{"formula": "Na2CeSe2Br2", "functional": "PBE-GGA", "state": "relaxed", "lattice_angstrom": [[-4.551, 2.470, -2.082], [-2.291, -5.004, -0.929], [0.375, 1.397, 8.318]], "species": ["Se", "Se", "Br", "Br", "Na", "Na", "Ce"], "fractional_positions": [[0.000, 0.500, 0.000], [0.500, 0.000, 0.000], [0.190, 0.190, 0.380], [0.810, 0.810, 0.620], [0.381, 0.381, 0.763], [0.619, 0.619, 0.237], [0.000, 0.000, 0.000]], "formation_energy_uncorrected_mev_per_atom": -1428, "spacegroup": "I4/mmm (139)", "crystal_system": "tetragonal", "dos_at_fermi_per_ev_atom": 0.00}